[1]
The following is a DFT calculation (PBE-GGA) of a relaxed structure of GdZrNb.

a = 6.8233 Å, b = 6.8233 Å, c = 6.8233 Å
α = 90.00°, β = 90.00°, γ = 90.00°
Positions (direct):
Gd: 0.0000 0.0000 0.0000
Gd: 0.0000 0.5000 0.5000
Gd: 0.5000 0.0000 0.5000
Gd: 0.5000 0.5000 0.0000
Zr: 0.0000 0.0000 0.5000
Zr: 0.0000 0.5000 0.0000
Zr: 0.5000 0.0000 0.0000
Zr: 0.5000 0.5000 0.5000
Nb: 0.2500 0.2500 0.2500
Nb: 0.2500 0.7500 0.7500
Nb: 0.7500 0.2500 0.7500
Nb: 0.7500 0.7500 0.2500

Calculated values
SG: F-43m
Total magnetic moment: 0.03 μB/f.u.
ΔE_f: 757.5 meV/atom



[2]
The following is a DFT calculation (PBE-GGA) of a relaxed structure of CdNiGeS3.

a = 6.6573 Å, b = 6.6573 Å, c = 9.9707 Å
α = 90.00°, β = 90.00°, γ = 149.45°
Positions (direct):
Cd: 0.0000 0.0000 0.0000
Cd: 0.0000 0.0000 0.5000
Ni: 0.4739 0.5261 0.7500
Ni: 0.5261 0.4739 0.2500
Ge: 0.2288 0.7712 0.2500
Ge: 0.7712 0.2288 0.7500
S: 0.0802 0.9198 0.7500
S: 0.3475 0.6525 0.5847
S: 0.3475 0.6525 0.9153
S: 0.6525 0.3475 0.0847
S: 0.6525 0.3475 0.4153
S: 0.9198 0.0802 0.2500

Calculated values
ΔE to the lowest computed polymorph: 0.11 eV/f.u.
SG: Cmcm
Total magnetic moment: 0.44 μB/f.u.



[3]
The following is a DFT calculation (PBE-GGA) of a relaxed structure of LaFe5H12.

a = 5.7108 Å, b = 5.7108 Å, c = 4.2026 Å
α = 90.00°, β = 90.00°, γ = 120.00°
Positions (direct):
La: 0.0000 0.0000 0.0000
Fe: 0.0000 0.5000 0.5000
Fe: 0.3333 0.6667 0.0000
Fe: 0.5000 0.0000 0.5000
Fe: 0.5000 0.5000 0.5000
Fe: 0.6667 0.3333 0.0000
H: 0.2112 0.4225 0.2657
H: 0.2112 0.4225 0.7343
H: 0.2112 0.7888 0.2657
H: 0.2112 0.7888 0.7343
H: 0.4225 0.2112 0.2657
H: 0.4225 0.2112 0.7343
H: 0.5775 0.7888 0.2657
H: 0.5775 0.7888 0.7343
H: 0.7888 0.2112 0.2657
H: 0.7888 0.2112 0.7343
H: 0.7888 0.5775 0.2657
H: 0.7888 0.5775 0.7343

Calculated values
Calculated total energy: -4.902 eV per atom
SG: P6/mmm
Total magnetic moment: 5.26 μB/f.u.



[4]
The following is a DFT calculation (PBE-GGA) of a relaxed structure of PrMg4SiPt2.

a = 7.4358 Å, b = 4.5167 Å, c = 10.1230 Å
α = 90.00°, β = 90.00°, γ = 90.00°
Positions (direct):
Pr: 0.0000 0.0000 0.0000
Pr: 0.0000 0.5000 0.5000
Mg: 0.2347 0.0000 0.7119
Mg: 0.2347 0.5000 0.2119
Mg: 0.3112 0.0000 0.4042
Mg: 0.3112 0.5000 0.9042
Mg: 0.6888 0.0000 0.4042
Mg: 0.6888 0.5000 0.9042
Mg: 0.7653 0.0000 0.7119
Mg: 0.7653 0.5000 0.2119
Si: 0.5000 0.0000 0.1384
Si: 0.5000 0.5000 0.6384
Pt: 0.0000 0.0000 0.2858
Pt: 0.0000 0.5000 0.7858
Pt: 0.5000 0.0000 0.9096
Pt: 0.5000 0.5000 0.4096

Calculated values
Calculated total energy: -4.049 eV per atom
SG: Amm2
Total magnetic moment: 0.01 μB/f.u.



[5]
The following is a DFT calculation (PBE-GGA) of a relaxed structure of TbErSc.

a = 7.3891 Å, b = 7.3891 Å, c = 7.3891 Å
α = 90.00°, β = 90.00°, γ = 90.00°
Positions (direct):
Tb: 0.0000 0.0000 0.0000
Tb: 0.0000 0.5000 0.5000
Tb: 0.5000 0.0000 0.5000
Tb: 0.5000 0.5000 0.0000
Er: 0.0000 0.0000 0.5000
Er: 0.0000 0.5000 0.0000
Er: 0.5000 0.0000 0.0000
Er: 0.5000 0.5000 0.5000
Sc: 0.2500 0.2500 0.7500
Sc: 0.2500 0.7500 0.2500
Sc: 0.7500 0.2500 0.2500
Sc: 0.7500 0.7500 0.7500

Calculated values
ΔE to the lowest computed polymorph: 0.00 eV/f.u.
SG: F-43m
Total magnetic moment: 0.02 μB/f.u.
ΔE_f: 689.4 meV/atom



[6]
The following is a DFT calculation (PBE-GGA) of a relaxed structure of NdTmZn2Ge2.

a = 4.2558 Å, b = 4.2558 Å, c = 15.8845 Å
α = 90.00°, β = 90.00°, γ = 120.00°
Positions (direct):
Nd: 0.0000 0.0000 0.0000
Nd: 0.0000 0.0000 0.5000
Tm: 0.0000 0.0000 0.2500
Tm: 0.0000 0.0000 0.7500
Zn: 0.3333 0.6667 0.1534
Zn: 0.3333 0.6667 0.3466
Zn: 0.6667 0.3333 0.6534
Zn: 0.6667 0.3333 0.8466
Ge: 0.3333 0.6667 0.6191
Ge: 0.3333 0.6667 0.8809
Ge: 0.6667 0.3333 0.1191
Ge: 0.6667 0.3333 0.3809

Calculated values
ΔE to the lowest computed polymorph: 0.00 eV/f.u.
SG: P6_3/mmc
Total magnetic moment: 0.00 μB/f.u.